A plane-wave DFT calculation with PBE was carried out for a relaxed structure of CoSn2Sb2.

Summary:
Magnetization = 0.78 μB/f.u.
Electronic total energy = -45.1 eV for the cell shown

a = 6.5203 Å, b = 6.5203 Å, c = 6.1350 Å
α = 90.00°, β = 90.00°, γ = 90.00°
With the nearest neighbours (Å) after each atom.
Positions (direct):
Sb (0.8452, 0.6548, 0.0000)  2 Co 2.47
Sb (0.3452, 0.8452, 0.0000)  2 Co 2.47
Co (0.5000, 0.5000, 0.0000)  4 Sb 2.47
Sn (0.2828, 0.7828, 0.5000)  2 Sb 3.12, 4 Sn 3.29
Sn (0.7172, 0.2172, 0.5000)  2 Sb 3.12, 4 Sn 3.29
Sb (0.1548, 0.3452, 0.0000)  2 Co 2.47
Sn (0.7828, 0.7172, 0.5000)  2 Sb 3.12, 4 Sn 3.29
Sn (0.2172, 0.2828, 0.5000)  2 Sb 3.12, 4 Sn 3.29
Sb (0.6548, 0.1548, 0.0000)  2 Co 2.47
Co (0.0000, 0.0000, 0.0000)  4 Sb 2.47